MnP4O12: optimized geometry, GGA+U.

abc: 7.344 7.438 9.858
angles: 92.38 110.93 113.55
Space group P-1 (No. 2)
Inequivalent atoms, fractional coordinates:
Mn (0.000, 0.000, 0.000) x1
Mn (0.000, 0.500, 0.500) x1
P (0.015, 0.349, 0.816) x2
P (0.263, 0.750, 0.023) x2
P (0.283, 0.267, 0.540) x2
P (0.485, 0.307, 0.319) x2
O (0.040, 0.649, 0.347) x2
O (0.057, 0.173, 0.858) x2
O (0.102, 0.824, 0.931) x2
O (0.122, 0.341, 0.440) x2
O (0.180, 0.649, 0.147) x2
O (0.212, 0.102, 0.616) x2
O (0.223, 0.554, 0.917) x2
O (0.291, 0.689, 0.638) x2
O (0.324, 0.191, 0.167) x2
O (0.396, 0.216, 0.441) x2
O (0.487, 0.467, 0.661) x2
O (0.499, 0.116, 0.903) x2

Calculated values
- DFT total energy: -241.14 eV/cell
- E above lowest polymorph: 19 meV per atom